TbSmScPd | PBE-GGA | optimized geometry

## Properties
Energy of formation from the pure elements   -14.9 kJ/mol of atoms
Energy   -5.373 eV per atom

Cell: 7.366 7.366 7.366 Å, 90.00 90.00 90.00°
Space group F-43m (No. 216)
Unique sites:
Tb (0.000, 0.000, 0.000) [4 per cell]
Sm (0.000, 0.000, 0.500) [4 per cell]
Sc (0.250, 0.250, 0.250) [4 per cell]
Pd (0.250, 0.250, 0.750) [4 per cell]